(1)
A plane-wave DFT calculation with PBE was carried out for an optimized crystal structure of SiPtW2.

Structure (POSCAR):
```
SiPtW2
1.0
-0.6318 -2.6750 -0.3665
0.4956 0.2691 2.7150
-7.9429 1.7003 1.2813
Si Pt W
1 1 2
Direct
0.5000 0.5000 0.7457
0.0000 0.0000 0.5213
0.0000 0.0000 0.9840
0.5000 0.5000 0.2490
```

Calculated values
Calculated total energy, Ha/atom: -0.344
M_tot, Bohr magnetons per cell: 0.0
ΔE_f (raw), eV per atom: -0.02
Fermi-level density of states, states/eV per cell: 2.2

(2)
A plane-wave DFT calculation with PBE was carried out for an optimized crystal structure of Si2PtW2.

Structure (POSCAR):
```
Si2PtW2
1.0
-3.1957 -5.2451 -0.0275
4.3291 -2.6194 -3.4817
1.8555 -1.1472 3.1702
Si W Pt
4 4 2
Direct
0.8693 0.6307 0.0000
0.6307 0.1307 0.0000
0.3693 0.8693 0.0000
0.1307 0.3693 0.0000
0.6763 0.8237 0.5000
0.8237 0.3237 0.5000
0.3237 0.1763 0.5000
0.1763 0.6763 0.5000
0.0000 0.0000 0.0000
0.5000 0.5000 0.0000
```

Calculated values
Calculated total energy, Ha/atom: -0.318
M_tot, Bohr magnetons per cell: 0.0
ΔE_f (raw), eV per atom: -0.09
Fermi-level density of states, states/eV per cell: 5.1

(3)
A plane-wave DFT calculation with PBE was carried out for an optimized crystal structure of SiPtW2.

Structure (POSCAR):
```
SiPtW2
1.0
-0.8999 8.6944 2.4876
-1.6561 7.4714 4.9015
1.0616 7.9130 4.3413
Pt W Si
1 2 1
Direct
0.4941 0.4941 0.4941
0.0055 0.0055 0.0055
0.2483 0.2483 0.2483
0.7521 0.7521 0.7521
```

Calculated values
Calculated total energy, Ha/atom: -0.342
M_tot, Bohr magnetons per cell: 0.0
ΔE_f (raw), eV per atom: 0.03
Fermi-level density of states, states/eV per cell: 1.7

(4)
A plane-wave DFT calculation with PBE was carried out for an optimized crystal structure of SiPtW2.

Structure (POSCAR):
```
SiPtW2
1.0
-3.0429 2.3960 -1.6053
-1.6028 -2.2487 -0.3182
-2.6017 -0.1957 4.6394
W Si Pt
2 1 1
Direct
0.5000 0.2711 0.2520
0.0000 0.9880 0.9850
0.5000 0.5681 0.7514
0.0000 0.6728 0.5117
```

Calculated values
Calculated total energy, Ha/atom: -0.349
M_tot, Bohr magnetons per cell: 0.0
ΔE_f (raw), eV per atom: -0.15
Fermi-level density of states, states/eV per cell: 2.1

- Among the records above, which one has the highest Fermi-level density of states?
  Si2PtW2

- What is the Fermi-level density of states in the second record?
  5.1 states/eV per cell

- Among the records above, which one has the lowest Fermi-level density of states?
  number 3